Below is Pr4YHo6 after structural relaxation, with properties calculated at the GGA-PBE level.

a b c (Å): 7.7412 7.7412 8.5473
angles (deg): 116.93 116.93 90.00
Closest atoms and distances in Å follow each position.
Positions (direct):
1 Ho 0.5000 0.0000 0.0000  4 Pr 3.03
2 Ho 0.4392 0.9274 0.3666  2 Pr 3.24-3.52, 1 Y 3.60
3 Ho 0.5608 0.5608 0.6334  2 Pr 3.24-3.52, 1 Y 3.60
4 Ho 0.0000 0.5000 0.0000  4 Pr 3.03
5 Ho 0.0726 0.0726 0.6334  2 Pr 3.24-3.52, 1 Y 3.60
6 Ho 0.9274 0.4392 0.3666  2 Pr 3.24-3.52, 1 Y 3.60
7 Y 0.5000 0.5000 0.0000  8 Ho 3.60-3.87, 4 Pr 3.69
8 Pr 0.0994 0.7471 0.8464  3 Ho 3.03-3.24
9 Pr 0.9006 0.9006 0.1536  3 Ho 3.03-3.24
10 Pr 0.7471 0.0994 0.8464  3 Ho 3.03-3.24
11 Pr 0.2529 0.2529 0.1536  3 Ho 3.03-3.24

Calculated values
D(E_F) = 1.29 states/eV/atom
Formation energy from the elements = 4.97 eV per formula unit
Excess energy over the best structure of this formula in the dataset = 0.1555 eV per atom
Calculated total energy = -4.37 eV/atom
Total magnetization = 0.000 μB per formula unit

Below is Pr12YHo3 after structural relaxation, with properties calculated at the GGA-PBE level.

a b c (Å): 5.1945 5.1945 20.7074
angles (deg): 90.00 90.00 90.00
Closest atoms and distances in Å follow each position.
Positions (direct):
1 Ho 0.0000 0.0000 0.5000  12 Pr 3.66-3.67
2 Ho 0.0000 0.0000 0.7497  12 Pr 3.66-3.67
3 Ho 0.0000 0.0000 0.2503  12 Pr 3.66-3.67
4 Pr 0.5000 0.5000 0.0000  4 Y 3.67, 8 Pr 3.68
5 Pr 0.0000 0.5000 0.6248  8 Pr 3.66-3.67, 4 Ho 3.66
6 Pr 0.5000 0.0000 0.6248  8 Pr 3.66-3.67, 4 Ho 3.66
7 Pr 0.0000 0.5000 0.3752  8 Pr 3.66-3.67, 4 Ho 3.66
8 Pr 0.5000 0.5000 0.5000  8 Pr 3.66, 4 Ho 3.67
9 Pr 0.5000 0.5000 0.7495  8 Pr 3.66, 4 Ho 3.67
10 Pr 0.5000 0.0000 0.1257  2 Ho 3.66, 8 Pr 3.66-3.68, 2 Y 3.68
11 Pr 0.0000 0.5000 0.8743  2 Ho 3.66, 8 Pr 3.66-3.68, 2 Y 3.68
12 Pr 0.5000 0.0000 0.3752  8 Pr 3.66-3.67, 4 Ho 3.66
13 Pr 0.5000 0.5000 0.2505  8 Pr 3.66, 4 Ho 3.67
14 Pr 0.0000 0.5000 0.1257  2 Ho 3.66, 8 Pr 3.66-3.68, 2 Y 3.68
15 Pr 0.5000 0.0000 0.8743  2 Ho 3.66, 8 Pr 3.66-3.68, 2 Y 3.68
16 Y 0.0000 0.0000 0.0000  12 Pr 3.67-3.68

Calculated values
D(E_F) = 1.51 states/eV/atom
Formation energy from the elements = 0.18 eV per formula unit
Calculated total energy = -4.84 eV/atom
Total magnetization = 0.000 μB per formula unit

Below is Pr2Y4Ho after structural relaxation, with properties calculated at the GGA-PBE level.

a b c (Å): 6.8652 6.8652 6.8652
angles (deg): 103.34 103.34 122.58
Closest atoms and distances in Å follow each position.
Positions (direct):
1 Y 0.1989 0.8012 0.0001  4 Y 3.39-3.52, 4 Pr 3.49, 1 Ho 3.63
2 Y 0.8012 0.8011 0.6023  4 Y 3.39-3.52, 4 Pr 3.49, 1 Ho 3.63
3 Y 0.8011 0.1988 0.9999  4 Y 3.39-3.52, 4 Pr 3.49, 1 Ho 3.63
4 Y 0.1988 0.1989 0.3977  4 Y 3.39-3.52, 4 Pr 3.49, 1 Ho 3.63
5 Pr 0.7500 0.2500 0.5000  2 Pr 3.30, 8 Y 3.49
6 Pr 0.2500 0.7500 0.5000  2 Pr 3.30, 8 Y 3.49
7 Ho 0.5000 0.5000 0.0000  4 Y 3.63

Calculated values
D(E_F) = 1.82 states/eV/atom
Formation energy from the elements = 1.85 eV per formula unit
Excess energy over the best structure of this formula in the dataset = 0.2135 eV per atom
Calculated total energy = -5.45 eV/atom
Total magnetization = 0.000 μB per formula unit

Below is Pr4Y8Ho after structural relaxation, with properties calculated at the GGA-PBE level.

a b c (Å): 11.1316 11.1316 7.8669
angles (deg): 90.00 135.03 120.00
Closest atoms and distances in Å follow each position.
Positions (direct):
1 Y 0.9996 0.7589 0.2404  4 Pr 3.28-3.45, 1 Ho 3.53
2 Y 0.4813 0.2406 0.7220  4 Pr 3.28-3.45, 1 Ho 3.53
3 Y 0.5187 0.7594 0.2780  4 Pr 3.28-3.45, 1 Ho 3.53
4 Y 0.0004 0.2411 0.7596  4 Pr 3.28-3.45, 1 Ho 3.53
5 Y 0.0004 0.7592 0.7596  4 Pr 3.28-3.45, 1 Ho 3.53
6 Y 0.9996 0.2408 0.2404  4 Pr 3.28-3.45, 1 Ho 3.53
7 Y 0.4815 0.2408 0.2404  4 Pr 3.28-3.45, 1 Ho 3.53
8 Y 0.5185 0.7592 0.7596  4 Pr 3.28-3.45, 1 Ho 3.53
9 Pr 0.0000 0.5000 0.0000  8 Y 3.45
10 Pr 0.5000 0.0000 0.0000  8 Y 3.45
11 Pr 0.0000 0.0000 0.0000  8 Y 3.28
12 Pr 0.5000 0.5000 0.0000  8 Y 3.45
13 Ho 0.0000 0.5000 0.5000  8 Y 3.53, 6 Pr 3.93

Calculated values
D(E_F) = 1.67 states/eV/atom
Formation energy from the elements = 6.68 eV per formula unit
Calculated total energy = -5.29 eV/atom
Total magnetization = 2.314 μB per formula unit

Below is Pr4YHo7 after structural relaxation, with properties calculated at the GGA-PBE level.

a b c (Å): 5.9365 11.7339 6.7655
angles (deg): 83.66 63.98 75.35
Closest atoms and distances in Å follow each position.
Positions (direct):
1 Ho 0.3677 0.4944 0.7702  4 Ho 3.29-3.64, 5 Pr 3.30-3.61
2 Ho 0.6323 0.5056 0.2298  4 Ho 3.29-3.64, 5 Pr 3.30-3.61
3 Ho 0.9308 0.3111 0.8274  4 Ho 3.29-3.64, 1 Pr 3.68, 1 Y 3.69
4 Ho 0.5000 0.0000 0.0000  2 Y 2.97, 2 Ho 3.15
5 Ho 0.0693 0.6889 0.1726  4 Ho 3.29-3.64, 1 Pr 3.68, 1 Y 3.69
6 Ho 0.2126 0.0767 0.4981  4 Ho 3.15-3.44, 1 Y 3.17, 4 Pr 3.38-3.40
7 Ho 0.7874 0.9233 0.5019  4 Ho 3.15-3.44, 1 Y 3.17, 4 Pr 3.38-3.40
8 Y 0.0000 0.0000 0.0000  4 Ho 2.97-3.17
9 Pr 0.2211 0.3349 0.2229  5 Ho 3.30-3.68, 2 Pr 3.65
10 Pr 0.3610 0.7779 0.5001  7 Ho 3.39-3.71, 2 Pr 3.65
11 Pr 0.7789 0.6651 0.7771  5 Ho 3.30-3.68, 2 Pr 3.65
12 Pr 0.6390 0.2221 0.4999  7 Ho 3.39-3.71, 2 Pr 3.65

Calculated values
D(E_F) = 1.67 states/eV/atom
Formation energy from the elements = 3.18 eV per formula unit
Excess energy over the best structure of this formula in the dataset = 0.1781 eV per atom
Calculated total energy = -4.54 eV/atom
Total magnetization = 0.292 μB per formula unit

Below is Pr8YHo4 after structural relaxation, with properties calculated at the GGA-PBE level.

a b c (Å): 7.3025 7.3025 10.6751
angles (deg): 90.00 110.00 120.00
Closest atoms and distances in Å follow each position.
Positions (direct):
1 Ho 0.5000 0.0000 0.0000  4 Pr 3.59, 6 Ho 3.65
2 Ho 0.5000 0.5000 0.0000  4 Pr 3.59, 6 Ho 3.65
3 Ho 0.0000 0.0000 0.0000  6 Pr 3.42, 6 Ho 3.65
4 Ho 0.0000 0.5000 0.0000  4 Pr 3.59, 6 Ho 3.65
5 Pr 0.4957 0.2479 0.2882  1 Y 3.10, 2 Pr 3.33, 1 Ho 3.42
6 Pr 0.9597 0.7521 0.7118  1 Y 3.10, 2 Pr 3.33, 1 Ho 3.42
7 Pr 0.0403 0.7925 0.2882  1 Y 3.10, 2 Pr 3.33, 1 Ho 3.42
8 Pr 0.4232 0.2116 0.6348  9 Pr 3.73-3.90, 3 Ho 4.16
9 Pr 0.5768 0.7884 0.3652  9 Pr 3.73-3.90, 3 Ho 4.16
10 Pr 0.0403 0.2479 0.2882  1 Y 3.10, 2 Pr 3.33, 1 Ho 3.42
11 Pr 0.9597 0.2075 0.7118  1 Y 3.10, 2 Pr 3.33, 1 Ho 3.42
12 Pr 0.5043 0.7521 0.7118  1 Y 3.10, 2 Pr 3.33, 1 Ho 3.42
13 Y 0.0000 0.5000 0.5000  6 Pr 3.10

Calculated values
D(E_F) = 1.04 states/eV/atom
Formation energy from the elements = 2.50 eV per formula unit
Calculated total energy = -4.65 eV/atom
Total magnetization = 0.000 μB per formula unit

Below is Pr2Y5Ho12 after structural relaxation, with properties calculated at the GGA-PBE level.

a b c (Å): 9.1814 12.4083 8.5258
angles (deg): 132.34 90.00 111.71
Closest atoms and distances in Å follow each position.
Positions (direct):
1 Ho 0.8182 0.2525 0.6003  4 Y 3.37-3.69, 6 Ho 3.40-3.69, 1 Pr 3.61
2 Ho 0.1818 0.7475 0.3997  4 Y 3.37-3.69, 6 Ho 3.40-3.69, 1 Pr 3.61
3 Ho 0.0945 0.1889 0.3044  2 Pr 3.40, 3 Y 3.41-3.58, 5 Ho 3.50-3.63
4 Ho 0.9055 0.8111 0.6956  2 Pr 3.40, 3 Y 3.41-3.58, 5 Ho 3.50-3.63
5 Ho 0.3379 0.3133 0.0666  5 Ho 3.33-3.69, 1 Pr 3.44, 5 Y 3.47-3.72
6 Ho 0.0247 0.6867 0.9334  5 Ho 3.33-3.69, 1 Pr 3.44, 5 Y 3.47-3.72
7 Ho 0.5562 0.1124 0.7823  2 Pr 3.40, 7 Ho 3.40-3.44, 2 Y 3.42-3.59
8 Ho 0.4343 0.2525 0.6003  4 Y 3.37-3.69, 6 Ho 3.40-3.69, 1 Pr 3.61
9 Ho 0.5657 0.7475 0.3997  4 Y 3.37-3.69, 6 Ho 3.40-3.69, 1 Pr 3.61
10 Ho 0.6620 0.6867 0.9334  5 Ho 3.33-3.69, 1 Pr 3.44, 5 Y 3.47-3.72
11 Ho 0.4438 0.8876 0.2177  2 Pr 3.40, 7 Ho 3.40-3.44, 2 Y 3.42-3.59
12 Ho 0.9753 0.3133 0.0666  5 Ho 3.33-3.69, 1 Pr 3.44, 5 Y 3.47-3.72
13 Y 0.0000 0.0000 0.5000  10 Ho 3.58-3.72, 2 Y 3.75
14 Y 0.6977 0.3955 0.3882  8 Ho 3.41-3.66, 2 Pr 3.58, 1 Y 3.69
15 Y 0.3023 0.6045 0.6118  8 Ho 3.41-3.66, 2 Pr 3.58, 1 Y 3.69
16 Y 0.2335 0.4670 0.8902  10 Ho 3.37-3.71, 2 Y 3.69-3.75
17 Y 0.7665 0.5330 0.1098  10 Ho 3.37-3.71, 2 Y 3.69-3.75
18 Pr 0.6866 0.0000 0.0000  8 Ho 3.40-3.61, 1 Pr 3.43, 2 Y 3.58
19 Pr 0.3134 0.0000 0.0000  8 Ho 3.40-3.61, 1 Pr 3.43, 2 Y 3.58

Calculated values
D(E_F) = 1.47 states/eV/atom
Formation energy from the elements = 2.48 eV per formula unit
Excess energy over the best structure of this formula in the dataset = 0.0669 eV per atom
Calculated total energy = -4.96 eV/atom
Total magnetization = 0.000 μB per formula unit

Below is Pr5Y2Ho2 after structural relaxation, with properties calculated at the GGA-PBE level.

a b c (Å): 11.9358 6.8636 10.2276
angles (deg): 109.61 125.70 90.00
Closest atoms and distances in Å follow each position.
Positions (direct):
1 Ho 0.5000 0.5658 0.0000  6 Pr 3.47-3.71, 2 Y 3.78, 2 Ho 3.79
2 Ho 0.0000 0.0658 0.0000  6 Pr 3.47-3.71, 2 Y 3.78, 2 Ho 3.79
3 Ho 0.7494 0.8415 0.5000  4 Pr 3.40-3.55, 2 Y 3.57, 2 Ho 3.79
4 Ho 0.2506 0.3415 0.5000  4 Pr 3.40-3.55, 2 Y 3.57, 2 Ho 3.79
5 Pr 0.8200 0.7681 0.0999  4 Pr 3.15-3.47, 1 Y 3.34, 1 Ho 3.47
6 Pr 0.7799 0.2681 0.0999  4 Pr 3.15-3.47, 1 Y 3.34, 1 Ho 3.47
7 Pr 0.3693 0.0270 0.2886  4 Pr 3.15-3.48, 2 Y 3.35-3.50, 1 Ho 3.43
8 Pr 0.6307 0.7384 0.7114  4 Pr 3.15-3.48, 2 Y 3.35-3.50, 1 Ho 3.43
9 Pr 0.1800 0.6682 0.9001  4 Pr 3.15-3.47, 1 Y 3.34, 1 Ho 3.47
10 Pr 0.9878 0.1515 0.5000  4 Pr 3.30-3.44, 2 Ho 3.40-3.55, 2 Y 3.60
11 Pr 0.2201 0.1682 0.9001  4 Pr 3.15-3.47, 1 Y 3.34, 1 Ho 3.47
12 Pr 0.0122 0.6515 0.5000  4 Pr 3.30-3.44, 2 Ho 3.40-3.55, 2 Y 3.60
13 Pr 0.4194 0.5270 0.2886  4 Pr 3.15-3.48, 2 Y 3.35-3.50, 1 Ho 3.43
14 Pr 0.5806 0.2384 0.7114  4 Pr 3.15-3.48, 2 Y 3.35-3.50, 1 Ho 3.43
15 Y 0.8611 0.4089 0.7421  4 Pr 3.34-3.60, 1 Ho 3.57, 1 Y 3.66
16 Y 0.1389 0.6668 0.2579  4 Pr 3.34-3.60, 1 Ho 3.57, 1 Y 3.66
17 Y 0.6190 0.1668 0.2579  4 Pr 3.34-3.60, 1 Ho 3.57, 1 Y 3.66
18 Y 0.3810 0.9089 0.7421  4 Pr 3.34-3.60, 1 Ho 3.57, 1 Y 3.66

Calculated values
D(E_F) = 1.32 states/eV/atom
Formation energy from the elements = 1.95 eV per formula unit
Excess energy over the best structure of this formula in the dataset = 0.1976 eV per atom
Calculated total energy = -4.89 eV/atom
Total magnetization = 0.000 μB per formula unit